! CdSn3Ir (PBE, relaxed); values from VASP
&SYSTEM
  ibrav = 0, nat = 5, ntyp = 3
/
ATOMIC_SPECIES
Ir 192.22 Ir.upf
Sn 118.71 Sn.upf
Cd 112.41 Cd.upf
CELL_PARAMETERS angstrom
5.1977 0.0000 0.0000
0.0000 5.1977 0.0000
0.0000 0.0000 5.1977
ATOMIC_POSITIONS crystal
Ir 0.0000 0.0000 0.0000
Sn 0.0000 0.5000 0.0000
Sn 0.0000 0.0000 0.5000
Sn 0.5000 0.0000 0.0000
Cd 0.5000 0.5000 0.5000
! Formation energy from the elements   159 meV/atom
! Offset from the most stable computed form   0.000 eV/atom
! D(E_F)   5.21 states/eV/f.u.
! Size of the total moment   0.00 Bohr magnetons per cell
! SG   Pm-3m, No. 221